No. 1
{"formula": "LaPm4Pr2Er2", "functional": "PBE", "state": "relaxed", "volume_a3_per_atom": 34.255, "crystal_system": "monoclinic", "space_group": "No. 12", "formation_enthalpy_0k_ev_per_atom": 0.022, "lattice_angstrom": [[5.160, 0.000, 0.000], [-2.580, 7.745, -0.003], [0.000, -2.595, 7.716]], "species": ["Pm", "Pm", "Pm", "Pm", "Er", "Er", "La", "Pr", "Pr"], "fractional_positions": [[0.222, 0.443, 0.330], [0.778, 0.557, 0.670], [0.556, 0.112, 0.332], [0.444, 0.888, 0.668], [0.331, 0.663, 0.001], [0.669, 0.337, 0.999], [0.000, 0.000, 0.000], [0.888, 0.776, 0.333], [0.112, 0.224, 0.667]]}



No. 2
{"formula": "La6PmPr2Er", "functional": "PBE", "state": "relaxed", "volume_a3_per_atom": 35.775, "crystal_system": "monoclinic", "space_group": "No. 15", "formation_enthalpy_0k_ev_per_atom": 0.107, "lattice_angstrom": [[-8.023, -0.010, 4.757], [4.466, -2.804, 7.517], [-0.557, 9.119, -0.922]], "species": ["Pr", "Pr", "Pr", "Pr", "La", "La", "La", "La", "La", "La", "La", "La", "La", "La", "La", "La", "Er", "Er", "Pm", "Pm"], "fractional_positions": [[0.064, 0.296, 0.206], [0.564, 0.206, 0.296], [0.436, 0.794, 0.704], [0.936, 0.704, 0.794], [0.906, 0.280, 0.571], [0.408, 0.224, 0.923], [0.681, 0.970, 0.534], [0.406, 0.571, 0.280], [0.592, 0.776, 0.077], [0.908, 0.923, 0.224], [0.819, 0.466, 0.030], [0.319, 0.030, 0.466], [0.092, 0.077, 0.776], [0.181, 0.534, 0.970], [0.094, 0.720, 0.429], [0.594, 0.429, 0.720], [0.750, 0.570, 0.430], [0.250, 0.430, 0.570], [0.250, 0.931, 0.069], [0.750, 0.069, 0.931]]}



No. 3
{"formula": "La6Pm2PrEr", "functional": "PBE", "state": "relaxed", "volume_a3_per_atom": 36.189, "crystal_system": "monoclinic", "space_group": "No. 12", "formation_enthalpy_0k_ev_per_atom": 0.177, "lattice_angstrom": [[-5.625, -7.117, -1.401], [5.456, -3.800, -2.601], [-0.602, 1.306, 6.626]], "species": ["Er", "La", "La", "La", "La", "La", "La", "Pm", "Pm", "Pr"], "fractional_positions": [[0.500, 0.000, 0.000], [0.205, 0.043, 0.623], [0.205, 0.580, 0.623], [0.423, 0.627, 0.255], [0.795, 0.420, 0.377], [0.577, 0.373, 0.745], [0.795, 0.957, 0.377], [0.827, 0.919, 0.839], [0.173, 0.081, 0.161], [0.000, 0.500, 0.000]]}



No. 4
{"formula": "LaPm2Pr2Er", "functional": "PBE", "state": "relaxed", "volume_a3_per_atom": 34.755, "crystal_system": "orthorhombic", "space_group": "No. 51", "formation_enthalpy_0k_ev_per_atom": 0.054, "lattice_angstrom": [[5.803, 0.000, 0.000], [0.000, 7.156, 0.000], [0.000, 0.000, 10.043]], "species": ["Pm", "Pm", "Pm", "Pm", "La", "La", "Pr", "Pr", "Pr", "Pr", "Er", "Er"], "fractional_positions": [[0.000, 0.758, 0.165], [0.500, 0.258, 0.331], [0.000, 0.258, 0.835], [0.500, 0.758, 0.669], [0.000, 0.008, 0.500], [0.000, 0.508, 0.500], [0.000, 0.758, 0.830], [0.500, 0.008, 0.000], [0.500, 0.508, 0.000], [0.000, 0.258, 0.170], [0.500, 0.757, 0.335], [0.500, 0.257, 0.665]]}



No. 5
{"formula": "La2Pm4Pr2Er", "functional": "PBE", "state": "relaxed", "volume_a3_per_atom": 35.109, "crystal_system": "monoclinic", "space_group": "No. 12", "formation_enthalpy_0k_ev_per_atom": 0.012, "lattice_angstrom": [[3.705, 0.000, 0.000], [-1.853, 9.587, -0.470], [0.000, -3.812, 9.082]], "species": ["La", "La", "Pr", "Pr", "Pm", "Pm", "Pm", "Pm", "Er"], "fractional_positions": [[0.664, 0.329, 0.000], [0.336, 0.671, 0.000], [0.853, 0.706, 0.334], [0.147, 0.294, 0.666], [0.481, 0.963, 0.671], [0.185, 0.370, 0.334], [0.815, 0.630, 0.666], [0.519, 0.037, 0.329], [0.000, 0.000, 0.000]]}



No. 6
{"formula": "LaPm2Pr4Er2", "functional": "PBE", "state": "relaxed", "volume_a3_per_atom": 34.664, "crystal_system": "monoclinic", "space_group": "No. 12", "formation_enthalpy_0k_ev_per_atom": 0.021, "lattice_angstrom": [[5.181, 0.000, 0.000], [-2.590, 7.768, -0.012], [0.000, -2.567, 7.756]], "species": ["La", "Er", "Er", "Pm", "Pm", "Pr", "Pr", "Pr", "Pr"], "fractional_positions": [[0.000, 0.000, 0.000], [0.669, 0.338, 0.998], [0.331, 0.662, 0.002], [0.112, 0.224, 0.668], [0.888, 0.776, 0.332], [0.222, 0.445, 0.329], [0.445, 0.890, 0.668], [0.778, 0.555, 0.671], [0.555, 0.110, 0.332]]}



No. 7
{"formula": "La4Pm2PrEr", "functional": "PBE", "state": "relaxed", "volume_a3_per_atom": 35.368, "crystal_system": "orthorhombic", "space_group": "No. 47", "formation_enthalpy_0k_ev_per_atom": 0.014, "lattice_angstrom": [[5.257, 0.000, 0.000], [0.000, 5.057, 1.338], [0.000, 2.428, 11.284]], "species": ["La", "La", "La", "La", "Er", "Pr", "Pm", "Pm"], "fractional_positions": [[0.500, 0.253, 0.747], [0.000, 0.246, 0.253], [0.000, 0.754, 0.747], [0.500, 0.747, 0.253], [0.000, 0.500, 0.500], [0.500, 0.500, 0.000], [0.500, 0.000, 0.500], [0.000, 0.000, 0.000]]}



No. 8
{"formula": "LaPm2Pr4Er", "functional": "PBE", "state": "relaxed", "volume_a3_per_atom": 35.180, "crystal_system": "monoclinic", "space_group": "No. 10", "formation_enthalpy_0k_ev_per_atom": 0.016, "lattice_angstrom": [[-2.829, 1.153, -2.078], [-4.432, -11.368, -0.275], [-3.723, 0.117, 5.134]], "species": ["La", "Er", "Pm", "Pm", "Pr", "Pr", "Pr", "Pr"], "fractional_positions": [[0.500, 0.500, 0.000], [0.000, 0.500, 0.500], [0.500, 0.000, 0.500], [0.000, 0.000, 0.000], [0.500, 0.252, 0.749], [0.000, 0.249, 0.252], [0.500, 0.748, 0.251], [0.000, 0.751, 0.748]]}



No. 9
{"formula": "La2PmPr2Er2", "functional": "PBE", "state": "relaxed", "volume_a3_per_atom": 34.601, "crystal_system": "monoclinic", "space_group": "No. 12", "formation_enthalpy_0k_ev_per_atom": 0.023, "lattice_angstrom": [[5.163, 0.000, 0.000], [-2.581, 5.759, 0.285], [0.000, -1.549, 8.070]], "species": ["Pm", "La", "La", "Er", "Er", "Pr", "Pr"], "fractional_positions": [[0.000, 0.000, 0.000], [0.142, 0.284, 0.427], [0.858, 0.716, 0.573], [0.571, 0.141, 0.714], [0.429, 0.859, 0.286], [0.715, 0.429, 0.142], [0.285, 0.571, 0.858]]}



No. 10
{"formula": "LaPmPr2Er4", "functional": "PBE", "state": "relaxed", "volume_a3_per_atom": 33.176, "crystal_system": "orthorhombic", "space_group": "No. 47", "formation_enthalpy_0k_ev_per_atom": 0.021, "lattice_angstrom": [[-4.740, 0.023, -2.084], [0.198, -5.126, -0.505], [-4.182, 4.081, 9.555]], "species": ["La", "Er", "Er", "Er", "Er", "Pm", "Pr", "Pr"], "fractional_positions": [[0.500, 0.500, 0.000], [0.000, 0.752, 0.252], [0.500, 0.748, 0.748], [0.000, 0.248, 0.748], [0.500, 0.252, 0.252], [0.000, 0.500, 0.500], [0.000, 0.000, 0.000], [0.500, 0.000, 0.500]]}



No. 11
{"formula": "LaPmErPu", "functional": "PBE", "state": "relaxed", "volume_a3_per_atom": 32.478, "crystal_system": "cubic", "space_group": "No. 216", "formation_enthalpy_0k_ev_per_atom": 0.204, "lattice_angstrom": [[-5.266, 2.140, -0.094], [-4.408, -3.353, -1.282], [-3.732, -1.454, 4.034]], "species": ["Pu", "Pm", "Er", "La"], "fractional_positions": [[0.500, 0.500, 0.500], [0.750, 0.750, 0.750], [0.000, 0.000, 0.000], [0.250, 0.250, 0.250]]}



No. 12
{"formula": "LaPmEr2S4", "functional": "PBE", "state": "relaxed", "e_form_raw_ev_per_atom": -1.979, "volume_a3_per_atom": 22.428, "crystal_system": "tetragonal", "space_group": "No. 139", "lattice_angstrom": [[5.630, 0.308, 0.000], [-0.306, 5.630, 0.000], [-2.662, -2.969, 5.644]], "species": ["Er", "Er", "La", "S", "S", "S", "S", "Pm"], "fractional_positions": [[0.687, 0.187, 0.500], [0.187, 0.687, 0.500], [0.937, 0.937, 0.000], [0.685, 0.685, 0.495], [0.190, 0.190, 0.505], [0.937, 0.437, 0.000], [0.437, 0.937, 0.000], [0.437, 0.437, 0.000]]}



No. 13
{"formula": "LaPm2ErS4", "functional": "PBE", "state": "relaxed", "e_form_raw_ev_per_atom": -2.036, "volume_a3_per_atom": 23.060, "crystal_system": "monoclinic", "space_group": "No. 10", "lattice_angstrom": [[-0.676, -2.847, 2.704], [2.093, -4.881, -4.616], [5.509, 2.166, 3.658]], "species": ["Pm", "Pm", "S", "S", "S", "S", "La", "Er"], "fractional_positions": [[0.500, 0.000, 0.500], [0.000, 0.500, 0.500], [0.500, 0.738, 0.751], [0.000, 0.264, 0.759], [0.500, 0.262, 0.249], [0.000, 0.736, 0.241], [0.000, 0.000, 0.000], [0.500, 0.500, 0.000]]}



No. 14
{"formula": "La2Pm3ErS6", "functional": "PBE", "state": "relaxed", "e_form_raw_ev_per_atom": -2.063, "volume_a3_per_atom": 23.430, "crystal_system": "monoclinic", "space_group": "No. 12", "lattice_angstrom": [[-3.210, -6.170, -0.985], [2.136, 1.873, 6.424], [-5.471, 4.298, -0.718]], "species": ["La", "La", "Er", "S", "S", "S", "S", "S", "S", "Pm", "Pm", "Pm"], "fractional_positions": [[0.334, 0.666, 0.000], [0.666, 0.334, 0.000], [0.000, 0.000, 0.000], [0.918, 0.597, 0.752], [0.403, 0.082, 0.248], [0.082, 0.403, 0.248], [0.597, 0.918, 0.752], [0.235, 0.235, 0.747], [0.765, 0.765, 0.253], [0.829, 0.171, 0.500], [0.171, 0.829, 0.500], [0.500, 0.500, 0.500]]}



No. 15
{"formula": "La4PmEr3S8", "functional": "PBE", "state": "relaxed", "e_form_raw_ev_per_atom": -2.073, "volume_a3_per_atom": 23.175, "crystal_system": "trigonal", "space_group": "No. 166", "lattice_angstrom": [[-4.594, 6.554, -0.257], [-6.623, -4.605, 0.942], [5.954, -0.510, 5.331]], "species": ["Er", "Er", "Er", "La", "La", "La", "La", "S", "S", "S", "S", "S", "S", "S", "S", "Pm"], "fractional_positions": [[0.500, 0.500, 0.000], [0.000, 0.500, 0.500], [0.500, 0.500, 0.500], [0.500, 0.000, 0.000], [0.500, 0.000, 0.500], [0.000, 0.000, 0.500], [0.000, 0.000, 0.000], [0.247, 0.730, 0.983], [0.753, 0.270, 0.505], [0.753, 0.270, 0.017], [0.247, 0.730, 0.495], [0.258, 0.275, 0.517], [0.742, 0.725, 0.483], [0.736, 0.730, 0.983], [0.264, 0.270, 0.017], [0.000, 0.500, 0.000]]}



No. 16
{"formula": "La4Pm3ErS8", "functional": "PBE", "state": "relaxed", "e_form_raw_ev_per_atom": -2.090, "volume_a3_per_atom": 23.917, "crystal_system": "trigonal", "space_group": "No. 166", "lattice_angstrom": [[-2.164, -0.945, -7.788], [0.696, -8.092, 0.788], [-4.797, 4.172, 5.079]], "species": ["S", "S", "S", "S", "S", "S", "S", "S", "La", "La", "La", "La", "Pm", "Pm", "Pm", "Er"], "fractional_positions": [[0.246, 0.264, 0.005], [0.759, 0.264, 0.518], [0.747, 0.742, 0.495], [0.253, 0.258, 0.505], [0.759, 0.264, 0.005], [0.241, 0.736, 0.995], [0.754, 0.736, 0.995], [0.241, 0.736, 0.482], [0.500, 0.000, 0.500], [0.000, 0.000, 0.000], [0.500, 0.000, 0.000], [0.000, 0.000, 0.500], [0.000, 0.500, 0.500], [0.500, 0.500, 0.000], [0.500, 0.500, 0.500], [0.000, 0.500, 0.000]]}



No. 17
{"formula": "LaPmErS3", "functional": "PBE", "state": "relaxed", "e_form_raw_ev_per_atom": -1.845, "volume_a3_per_atom": 25.347, "crystal_system": "monoclinic", "space_group": "No. 11", "lattice_angstrom": [[-0.788, 0.508, 3.878], [-7.438, 0.689, -1.601], [0.817, -10.040, 1.481]], "species": ["Er", "Er", "S", "S", "S", "S", "S", "S", "Pm", "Pm", "La", "La"], "fractional_positions": [[0.750, 0.335, 0.906], [0.250, 0.665, 0.094], [0.250, 0.098, 0.889], [0.750, 0.902, 0.111], [0.750, 0.188, 0.425], [0.250, 0.534, 0.825], [0.750, 0.466, 0.175], [0.250, 0.812, 0.575], [0.750, 0.806, 0.380], [0.250, 0.194, 0.620], [0.250, 0.179, 0.204], [0.750, 0.821, 0.796]]}



No. 18
{"formula": "La3Pm3ErS8", "functional": "PBE", "state": "relaxed", "e_form_raw_ev_per_atom": -2.112, "volume_a3_per_atom": 25.507, "crystal_system": "trigonal", "space_group": "No. 166", "lattice_angstrom": [[8.107, 0.000, 0.000], [-4.053, 7.020, -0.025], [0.000, -4.657, 6.740]], "species": ["Pm", "Pm", "Pm", "S", "S", "S", "S", "S", "S", "S", "S", "La", "La", "La", "Er"], "fractional_positions": [[0.500, 0.000, 0.500], [0.500, 0.500, 0.500], [0.000, 0.500, 0.500], [0.244, 0.005, 0.266], [0.747, 0.495, 0.742], [0.239, 0.995, 0.734], [0.253, 0.505, 0.258], [0.239, 0.479, 0.734], [0.756, 0.995, 0.734], [0.761, 0.005, 0.266], [0.761, 0.521, 0.266], [0.000, 0.000, 0.000], [0.500, 0.500, 0.000], [0.000, 0.500, 0.000], [0.000, 0.000, 0.500]]}



No. 19
{"formula": "La2PmErSb4", "functional": "PBE", "state": "relaxed", "e_form_raw_ev_per_atom": -1.202, "volume_a3_per_atom": 32.778, "crystal_system": "monoclinic", "space_group": "No. 10", "lattice_angstrom": [[4.532, 0.000, 0.000], [0.000, 7.827, -0.148], [0.000, 2.761, 7.340]], "species": ["Sb", "Sb", "Sb", "Sb", "La", "La", "Er", "Pm"], "fractional_positions": [[0.000, 0.740, 0.749], [0.500, 0.262, 0.742], [0.000, 0.260, 0.251], [0.500, 0.738, 0.258], [0.000, 0.000, 0.000], [0.500, 0.000, 0.500], [0.000, 0.500, 0.500], [0.500, 0.500, 0.000]]}



No. 20
{"formula": "LaPm2ErSb4", "functional": "PBE", "state": "relaxed", "e_form_raw_ev_per_atom": -1.174, "volume_a3_per_atom": 32.102, "crystal_system": "monoclinic", "space_group": "No. 10", "lattice_angstrom": [[4.498, 0.000, 0.000], [0.000, 7.786, -0.157], [0.000, 2.736, 7.278]], "species": ["Er", "Pm", "Pm", "Sb", "Sb", "Sb", "Sb", "La"], "fractional_positions": [[0.000, 0.500, 0.500], [0.500, 0.000, 0.500], [0.000, 0.000, 0.000], [0.000, 0.751, 0.743], [0.000, 0.249, 0.257], [0.500, 0.746, 0.258], [0.500, 0.254, 0.742], [0.500, 0.500, 0.000]]}